TaCr | the Alexandria database | PBE | relaxed; ΔE_f = 0.02 eV per formula unit
1.0
-0.9974 3.7077 3.4973
-2.2368 -1.3783 4.4799
4.0913 -0.6939 -3.1230
Cr Ta
2 2
Direct
0.3851 0.6351 0.2500
0.6149 0.3649 0.7500
0.8667 0.1167 0.2500
0.1333 0.8833 0.7500

TaCr3 | the Alexandria database | PBE | relaxed; ΔE_f = 1.18 eV per formula unit
1.0
-1.7527 1.7527 8.8513
1.7527 -1.7527 8.8513
1.7527 1.7527 -8.8513
Ta Cr
2 6
Direct
0.3761 0.3761 0.0000
0.6239 0.6239 0.0000
0.5000 0.0000 0.5000
0.0000 0.5000 0.5000
0.7500 0.2500 0.5000
0.2500 0.7500 0.5000
0.1273 0.1273 0.0000
0.8727 0.8727 0.0000

Ta2Cr | the Alexandria database | PBE | relaxed; ΔE_f = 0.23 eV per formula unit
1.0
-2.1797 -1.6143 -3.4628
4.3096 -0.7643 0.4373
-0.5797 -2.4154 1.4909
Cr Ta
1 2
Direct
0.0000 0.0000 0.0000
0.3333 0.6667 0.3043
0.6667 0.3333 0.6957